A relaxed Cd3Ni3PtO8 crystal. Source: Alexandria via LeMat-Bulk, functional GGA+U.

Cell: 6.239 6.240 6.478 Å, 118.79 90.00 120.00°
Fractional coordinates of all 15 atoms:
O  0.749  0.977  0.705
O  0.228  0.977  0.705
O  0.772  0.544  0.295
O  0.738  0.477  0.715
O  0.262  0.523  0.285
O  0.251  0.023  0.295
O  0.228  0.456  0.705
O  0.772  0.023  0.295
Pt  0.000  0.000  0.500
Ni  0.500  0.000  0.500
Ni  0.500  0.500  0.500
Ni  0.000  0.500  0.500
Cd  0.000  0.000  0.000
Cd  0.500  0.500  0.000
Cd  0.000  0.500  0.000

Calculated values
Calculated volume ... 181.6 Å³/cell
ρ ... 7.65 Mg/m³
DFT total energy ... -70.0 eV/cell
Space group ... No. 166
Total moment ... 0.40 μB/atom